1.
Here is Pr5Ag4Ru after structural relaxation from Alexandria. Energies are from GGA-PBE.

energy: -4.6780 eV per atom
space-group type: P4/mmm

Cell: 3.6528 3.6528 19.5027 Å, 90.00 90.00 90.00°
Closest atoms and distances in Å follow each position.
Fractional positions:
Pr1 0.0000 0.0000 0.0000  8 Ag 3.26
Pr2 0.0000 0.0000 0.2045  8 Ag 3.25-3.27
Pr3 0.0000 0.0000 0.4120  4 Ru 3.10, 4 Ag 3.32, 1 Pr 3.43
Pr4 0.0000 0.0000 0.5880  4 Ru 3.10, 4 Ag 3.32, 1 Pr 3.43
Pr5 0.0000 0.0000 0.7955  8 Ag 3.25-3.27
Ag1 0.5000 0.5000 0.1020  8 Pr 3.26-3.27
Ag2 0.5000 0.5000 0.3053  8 Pr 3.25-3.32
Ag3 0.5000 0.5000 0.6947  8 Pr 3.25-3.32
Ag4 0.5000 0.5000 0.8980  8 Pr 3.26-3.27
Ru1 0.5000 0.5000 0.5000  8 Pr 3.10

=====

2.
Here is TbSc2Fe after structural relaxation from Alexandria. Energies are from GGA-PBE.

relative energy among the computed polymorphs: 196 meV per atom
energy: -6.2926 eV per atom
space-group type: R-3m

Cell: 9.6084 9.6084 9.6084 Å, 19.94 19.94 19.94°
Closest atoms and distances in Å follow each position.
Fractional positions:
Tb1 0.0000 0.0000 0.0000  6 Tb 3.33, 6 Sc 3.53
Sc1 0.2287 0.2287 0.2287  3 Fe 2.60
Sc2 0.7713 0.7713 0.7713  3 Fe 2.60
Fe1 0.5000 0.5000 0.5000  6 Sc 2.60

=====

3.
Here is Cr2CuIr after structural relaxation from Alexandria. Energies are from GGA-PBE.

energy: -7.9409 eV per atom
space-group type: P4mm

Cell: 2.9886 2.9886 5.7559 Å, 90.00 90.00 90.00°
Closest atoms and distances in Å follow each position.
Fractional positions:
Cr1 0.0000 0.0000 0.0000  4 Cr 2.50, 4 Ir 2.59, 1 Cu 2.71
Cr2 0.5000 0.5000 0.2310  4 Cr 2.50, 4 Cu 2.52
Cu1 0.0000 0.0000 0.4704  5 Cr 2.52-2.71, 4 Ir 2.62
Ir1 0.5000 0.5000 0.7400  5 Cr 2.59-2.83, 4 Cu 2.62

=====

4.
Here is La2ScV after structural relaxation from Alexandria. Energies are from GGA-PBE.

relative energy among the computed polymorphs: 265 meV per atom
energy: -5.7509 eV per atom
space-group type: I-42d

Cell: 6.8287 6.8287 6.8287 Å, 102.31 102.31 125.00°
Closest atoms and distances in Å follow each position.
Fractional positions:
La1 0.0777 0.6250 0.9527  2 V 2.87
La2 0.3750 0.3277 0.4527  2 V 2.87
La3 0.6723 0.1250 0.0473  2 V 2.87
La4 0.8750 0.9223 0.5473  2 V 2.87
Sc1 0.2500 0.7500 0.5000  2 V 3.15, 4 La 3.42
Sc2 0.5000 0.5000 0.0000  2 V 3.15, 4 La 3.42
V1 0.0000 0.0000 0.0000  4 La 2.87, 2 Sc 3.15
V2 0.7500 0.2500 0.5000  4 La 2.87, 2 Sc 3.15

=====

5.
Here is Nd3Zn2Ir after structural relaxation from Alexandria. Energies are from GGA-PBE.

energy: -4.7182 eV per atom
space-group type: Pnma

Cell: 12.4977 4.5143 10.8764 Å, 90.00 90.00 90.00°
Closest atoms and distances in Å follow each position.
Fractional positions:
Nd1 0.0554 0.2500 0.1143  1 Ir 2.87, 4 Zn 3.05-3.19
Nd2 0.1099 0.7500 0.5599  3 Ir 2.96-3.07, 3 Zn 3.13
Nd3 0.2372 0.2500 0.7900  2 Ir 3.01, 5 Zn 3.16-3.30
Nd4 0.2628 0.7500 0.2900  2 Ir 3.01, 5 Zn 3.16-3.30
Nd5 0.3901 0.2500 0.0599  3 Ir 2.96-3.07, 3 Zn 3.13
Nd6 0.4446 0.7500 0.6143  1 Ir 2.87, 4 Zn 3.05-3.19
Nd7 0.5554 0.2500 0.3857  1 Ir 2.87, 4 Zn 3.05-3.19
Nd8 0.6099 0.7500 0.9401  3 Ir 2.96-3.07, 3 Zn 3.13
Nd9 0.7372 0.2500 0.7100  2 Ir 3.01, 5 Zn 3.16-3.30
Nd10 0.7628 0.7500 0.2100  2 Ir 3.01, 5 Zn 3.16-3.30
Nd11 0.8901 0.2500 0.4401  3 Ir 2.96-3.07, 3 Zn 3.13
Nd12 0.9446 0.7500 0.8857  1 Ir 2.87, 4 Zn 3.05-3.19
Zn1 0.0103 0.7500 0.2960  2 Ir 2.74, 2 Nd 3.05
Zn2 0.2022 0.7500 0.9950  1 Ir 2.63
Zn3 0.2978 0.2500 0.4950  1 Ir 2.63
Zn4 0.4897 0.2500 0.7960  2 Ir 2.74, 2 Nd 3.05
Zn5 0.5103 0.7500 0.2040  2 Ir 2.74, 2 Nd 3.05
Zn6 0.7022 0.7500 0.5050  1 Ir 2.63
Zn7 0.7978 0.2500 0.0050  1 Ir 2.63
Zn8 0.9897 0.2500 0.7040  2 Ir 2.74, 2 Nd 3.05
Ir1 0.1183 0.2500 0.3682  3 Zn 2.63-2.74, 1 Nd 2.87
Ir2 0.3817 0.7500 0.8682  3 Zn 2.63-2.74, 1 Nd 2.87
Ir3 0.6183 0.2500 0.1318  3 Zn 2.63-2.74, 1 Nd 2.87
Ir4 0.8817 0.7500 0.6318  3 Zn 2.63-2.74, 1 Nd 2.87

=====

6.
Here is AgTeI3 after structural relaxation from Alexandria. Energies are from GGA-PBE.

relative energy among the computed polymorphs: 378 meV per atom
energy: -1.8655 eV per atom
raw formation energy: 0.26 eV/atom
space-group type: Pm-3m

Cell: 6.0636 6.0636 6.0636 Å, 90.00 90.00 90.00°
Closest atoms and distances in Å follow each position.
Fractional positions:
Ag1 0.0000 0.0000 0.0000  12 I 4.29
Te1 0.5000 0.5000 0.5000  6 I 3.03
I1 0.0000 0.5000 0.5000  2 Te 3.03
I2 0.5000 0.0000 0.5000  2 Te 3.03
I3 0.5000 0.5000 0.0000  2 Te 3.03

=====

7.
Here is Pu2TcGe4Pt3 after structural relaxation from Alexandria. Energies are from GGA-PBE.

energy: -8.1807 eV per atom
space-group type: P-4m2

Cell: 4.2819 4.2819 10.3046 Å, 90.00 90.00 90.00°
Closest atoms and distances in Å follow each position.
Fractional positions:
Pu1 0.0000 0.5000 0.2482  8 Ge 3.27-3.36, 6 Pt 3.28-3.34, 2 Tc 3.34
Pu2 0.5000 0.0000 0.7518  8 Ge 3.27-3.36, 6 Pt 3.28-3.34, 2 Tc 3.34
Tc1 0.5000 0.5000 0.0000  4 Ge 2.52
Ge1 0.0000 0.0000 0.5000  4 Pt 2.53
Ge2 0.0000 0.5000 0.8710  3 Pt 2.48-2.52, 2 Tc 2.52
Ge3 0.5000 0.0000 0.1290  3 Pt 2.48-2.52, 2 Tc 2.52
Ge4 0.5000 0.5000 0.5000  4 Pt 2.53
Pt1 0.0000 0.0000 0.0000  4 Ge 2.52
Pt2 0.0000 0.5000 0.6305  5 Ge 2.48-2.53
Pt3 0.5000 0.0000 0.3695  5 Ge 2.48-2.53

=====

8.
Here is Bi4SbS8 after structural relaxation from Alexandria. Energies are from GGA-PBE.

energy: -4.2562 eV per atom
raw formation energy: -0.20 eV/atom
space-group type: R-3m

Cell: 7.9078 7.9078 7.9078 Å, 60.83 60.83 60.83°
Closest atoms and distances in Å follow each position.
Fractional positions:
Bi1 0.0000 0.0000 0.0000  6 S 2.86
Bi2 0.0000 0.5000 0.5000  6 S 2.79-2.83
Bi3 0.5000 0.0000 0.5000  6 S 2.79-2.83
Bi4 0.5000 0.5000 0.0000  6 S 2.79-2.83
Sb1 0.5000 0.5000 0.5000  6 S 2.77
S1 0.2513 0.7460 0.7460  1 Sb 2.77, 3 Bi 2.83-2.86
S2 0.2517 0.2517 0.2517  3 Bi 2.79
S3 0.2540 0.2540 0.7487  1 Sb 2.77, 3 Bi 2.83-2.86
S4 0.2540 0.7487 0.2540  1 Sb 2.77, 3 Bi 2.83-2.86
S5 0.7460 0.2513 0.7460  1 Sb 2.77, 3 Bi 2.83-2.86
S6 0.7460 0.7460 0.2513  1 Sb 2.77, 3 Bi 2.83-2.86
S7 0.7483 0.7483 0.7483  3 Bi 2.79
S8 0.7487 0.2540 0.2540  1 Sb 2.77, 3 Bi 2.83-2.86

=====

9.
Here is Ca2ScPt after structural relaxation from Alexandria. Energies are from GGA-PBE.

relative energy among the computed polymorphs: 348 meV per atom
energy: -4.2998 eV per atom
space-group type: R-3m

Cell: 10.0060 10.0060 10.0060 Å, 21.51 21.51 21.51°
Closest atoms and distances in Å follow each position.
Fractional positions:
Ca1 0.2291 0.2291 0.2291  3 Pt 2.83
Ca2 0.7709 0.7709 0.7709  3 Pt 2.83
Sc1 0.0000 0.0000 0.0000  6 Sc 3.73, 6 Ca 3.74
Pt1 0.5000 0.5000 0.5000  6 Ca 2.83

=====

10.
Here is DyZnCo2 after structural relaxation from Alexandria. Energies are from GGA-PBE.

energy: -5.0306 eV per atom
space-group type: P4/mmm

Cell: 4.1407 4.1407 3.4834 Å, 90.00 90.00 90.00°
Closest atoms and distances in Å follow each position.
Fractional positions:
Dy1 0.0000 0.0000 0.0000  8 Co 2.71, 4 Zn 2.93
Zn1 0.5000 0.5000 0.0000  8 Co 2.71, 4 Dy 2.93
Co1 0.0000 0.5000 0.5000  4 Dy 2.71, 4 Zn 2.71, 4 Co 2.93
Co2 0.5000 0.0000 0.5000  4 Dy 2.71, 4 Zn 2.71, 4 Co 2.93

=====

11.
Here is TaRu2Au after structural relaxation from Alexandria. Energies are from GGA-PBE.

relative energy among the computed polymorphs: 164 meV per atom
energy: -8.4138 eV per atom
space-group type: Cmmm

Cell: 4.5914 4.5914 3.0651 Å, 90.00 90.00 102.40°
Closest atoms and distances in Å follow each position.
Fractional positions:
Ta1 0.0000 0.0000 0.0000  8 Ru 2.76, 2 Au 2.88, 2 Ta 3.07
Ru1 0.0000 0.5000 0.5000  4 Ta 2.76, 4 Au 2.76, 4 Ru 2.88-3.07
Ru2 0.5000 0.0000 0.5000  4 Ta 2.76, 4 Au 2.76, 4 Ru 2.88-3.07
Au1 0.5000 0.5000 0.0000  8 Ru 2.76, 2 Ta 2.88, 2 Au 3.07

=====

12.
Here is LuHfTl2 after structural relaxation from Alexandria. Energies are from GGA-PBE.

relative energy among the computed polymorphs: 46 meV per atom
energy: -4.7597 eV per atom
space-group type: Fm-3m

Cell: 5.1564 5.1564 5.1564 Å, 60.00 60.00 60.00°
Closest atoms and distances in Å follow each position.
Fractional positions:
Lu1 0.0000 0.0000 0.0000  8 Tl 3.16
Hf1 0.5000 0.5000 0.5000  8 Tl 3.16
Tl1 0.2500 0.2500 0.2500  4 Hf 3.16, 4 Lu 3.16
Tl2 0.7500 0.7500 0.7500  4 Hf 3.16, 4 Lu 3.16

=====

> What is the energy in the fourth record?

-5.7509 eV per atom